No. 1
{
  "formula": "PrSm7Mg4",
  "functional": "GGA-PBE",
  "state": "optimized geometry",
  "lattice_angstrom": [[7.668, -2.926, 0.000], [7.668, 2.926, 0.000], [-5.136, 0.000, 8.375]],
  "species": ["Pr", "Sm", "Sm", "Sm", "Sm", "Sm", "Sm", "Sm", "Mg", "Mg", "Mg", "Mg"],
  "frac_coords": [[0.000, 0.000, 0.000], [0.080, 0.080, 0.426], [0.200, 0.200, 0.877], [0.253, 0.253, 0.291], [0.500, 0.500, 0.000], [0.747, 0.747, 0.709], [0.800, 0.800, 0.123], [0.920, 0.920, 0.574], [0.325, 0.325, 0.655], [0.461, 0.461, 0.305], [0.539, 0.539, 0.695], [0.675, 0.675, 0.345]],
  "dos_ef_per_ev_atom": 1.260,
  "density_g_cm3": 5.70,
  "ef_mev_per_atom": 136
}

No. 2
{
  "formula": "Pr2SmMg4",
  "functional": "GGA-PBE",
  "state": "optimized geometry",
  "lattice_angstrom": [[-2.744, 2.744, 7.426], [2.744, -2.744, 7.426], [2.744, 2.744, -7.426]],
  "species": ["Pr", "Pr", "Sm", "Mg", "Mg", "Mg", "Mg"],
  "frac_coords": [[0.245, 0.245, 0.000], [0.755, 0.755, 0.000], [0.500, 0.500, 0.000], [0.114, 0.614, 0.500], [0.386, 0.886, 0.500], [0.614, 0.114, 0.500], [0.886, 0.386, 0.500]],
  "dos_ef_per_ev_atom": 0.868,
  "density_g_cm3": 3.93,
  "ef_mev_per_atom": 110
}

No. 3
{
  "formula": "Pr5Sm3Mg2",
  "functional": "GGA-PBE",
  "state": "optimized geometry",
  "lattice_angstrom": [[-4.129, 11.400, 3.563], [4.129, -11.400, 3.563], [4.129, 11.400, -3.563]],
  "species": ["Pr", "Pr", "Pr", "Pr", "Pr", "Pr", "Pr", "Pr", "Pr", "Pr", "Sm", "Sm", "Sm", "Sm", "Sm", "Sm", "Mg", "Mg", "Mg", "Mg"],
  "frac_coords": [[0.087, 0.750, 0.337], [0.220, 0.158, 0.378], [0.250, 0.250, 0.000], [0.280, 0.658, 0.938], [0.413, 0.750, 0.663], [0.587, 0.250, 0.337], [0.720, 0.342, 0.062], [0.750, 0.750, 0.000], [0.780, 0.842, 0.622], [0.913, 0.250, 0.663], [0.117, 0.821, 0.938], [0.250, 0.750, 0.500], [0.383, 0.321, 0.705], [0.617, 0.679, 0.295], [0.750, 0.250, 0.500], [0.883, 0.179, 0.062], [0.081, 0.241, 0.322], [0.419, 0.741, 0.159], [0.581, 0.259, 0.841], [0.919, 0.759, 0.678]],
  "dos_ef_per_ev_atom": 1.061,
  "density_g_cm3": 5.96,
  "ef_mev_per_atom": 102
}

No. 4
{
  "formula": "Pr7Sm2Mg2",
  "functional": "GGA-PBE",
  "state": "optimized geometry",
  "lattice_angstrom": [[5.448, -5.876, 0.000], [5.448, 5.876, 0.000], [-2.325, 0.000, 5.803]],
  "species": ["Pr", "Pr", "Pr", "Pr", "Pr", "Pr", "Pr", "Sm", "Sm", "Mg", "Mg"],
  "frac_coords": [[0.000, 0.000, 0.000], [0.062, 0.580, 0.812], [0.420, 0.420, 0.201], [0.420, 0.938, 0.188], [0.580, 0.062, 0.812], [0.580, 0.580, 0.799], [0.938, 0.420, 0.188], [0.205, 0.205, 0.592], [0.795, 0.795, 0.408], [0.230, 0.770, 0.500], [0.770, 0.230, 0.500]],
  "dos_ef_per_ev_atom": 1.183,
  "density_g_cm3": 5.97,
  "relative_energy_mev_per_atom": 0,
  "ef_mev_per_atom": 100
}

Copy entry 4 word for word.
{
  "formula": "Pr7Sm2Mg2",
  "functional": "GGA-PBE",
  "state": "optimized geometry",
  "lattice_angstrom": [[5.448, -5.876, 0.000], [5.448, 5.876, 0.000], [-2.325, 0.000, 5.803]],
  "species": ["Pr", "Pr", "Pr", "Pr", "Pr", "Pr", "Pr", "Sm", "Sm", "Mg", "Mg"],
  "frac_coords": [[0.000, 0.000, 0.000], [0.062, 0.580, 0.812], [0.420, 0.420, 0.201], [0.420, 0.938, 0.188], [0.580, 0.062, 0.812], [0.580, 0.580, 0.799], [0.938, 0.420, 0.188], [0.205, 0.205, 0.592], [0.795, 0.795, 0.408], [0.230, 0.770, 0.500], [0.770, 0.230, 0.500]],
  "dos_ef_per_ev_atom": 1.183,
  "density_g_cm3": 5.97,
  "relative_energy_mev_per_atom": 0,
  "ef_mev_per_atom": 100
}